# 1
# GGA-PBE NaMgS2N, relaxed
data_NaMgS2N
_cell_length_a 4.9697
_cell_length_b 4.9697
_cell_length_c 4.2517
_cell_angle_alpha 90.00
_cell_angle_beta 90.00
_cell_angle_gamma 90.00
_space_group_name_H-M_alt 'P 4/m m m'
_space_group_IT_number 123
_space_group_name_Hall '-P 4 2'
loop_
_atom_site_label
_atom_site_type_symbol
_atom_site_fract_x
_atom_site_fract_y
_atom_site_fract_z
Na1 Na 0.0000 0.0000 0.0000
Mg1 Mg 0.5000 0.5000 0.5000
S1 S 0.0000 0.5000 0.5000
N1 N 0.5000 0.5000 0.0000
# VASP energy, Ry/atom: -0.2650
# DOS(E_F), states/eV/atom: 0.521
# Formation energy (no corrections), eV per atom: 0.2938

---

# 2
# GGA-PBE NaMgSeN2, relaxed
data_NaMgSeN2
_cell_length_a 4.2940
_cell_length_b 4.2940
_cell_length_c 5.3676
_cell_angle_alpha 90.00
_cell_angle_beta 90.00
_cell_angle_gamma 90.00
_space_group_name_H-M_alt 'P 4/m m m'
_space_group_IT_number 123
_space_group_name_Hall '-P 4 2'
loop_
_atom_site_label
_atom_site_type_symbol
_atom_site_fract_x
_atom_site_fract_y
_atom_site_fract_z
Na1 Na 0.0000 0.0000 0.0000
Mg1 Mg 0.5000 0.5000 0.5000
Se1 Se 0.5000 0.5000 0.0000
N1 N 0.0000 0.5000 0.5000
# VASP energy, Ry/atom: -0.2755
# DOS(E_F), states/eV/atom: 0.319
# Formation energy (no corrections), eV per atom: 0.8618

---

# 3
# GGA-PBE NaMgSeN2, relaxed
data_NaMgSeN2
_cell_length_a 4.2994
_cell_length_b 4.2994
_cell_length_c 5.5565
_cell_angle_alpha 90.00
_cell_angle_beta 90.00
_cell_angle_gamma 90.00
_space_group_name_H-M_alt 'P 4/m m m'
_space_group_IT_number 123
_space_group_name_Hall '-P 4 2'
loop_
_atom_site_label
_atom_site_type_symbol
_atom_site_fract_x
_atom_site_fract_y
_atom_site_fract_z
Na1 Na 0.0000 0.0000 0.0000
Mg1 Mg 0.5000 0.5000 0.5000
Se1 Se 0.0000 0.0000 0.5000
N1 N 0.0000 0.5000 0.0000
# VASP energy, Ry/atom: -0.2314
# DOS(E_F), states/eV/atom: 0.273
# Formation energy (no corrections), eV per atom: 1.4613

---

# 4
# GGA-PBE NaMg2Ta3N6, relaxed
data_NaMg2Ta3N6
_cell_length_a 13.8361
_cell_length_b 3.0861
_cell_length_c 6.3987
_cell_angle_alpha 90.00
_cell_angle_beta 105.71
_cell_angle_gamma 90.00
_space_group_name_H-M_alt 'C 1 2/m 1'
_space_group_IT_number 12
loop_
_space_group_symop_operation_xyz
'x,y,z'
'-x,-y,-z'
'-x,y,-z'
'x,-y,z'
'x+1/2,y+1/2,z'
'-x+1/2,-y+1/2,-z'
'-x+1/2,y+1/2,-z'
'x+1/2,-y+1/2,z'
loop_
_atom_site_label
_atom_site_type_symbol
_atom_site_fract_x
_atom_site_fract_y
_atom_site_fract_z
Na1 Na 0.0000 0.0000 0.0000
Mg1 Mg 0.1663 0.5000 0.3320
Ta1 Ta 0.0000 0.0000 0.5000
Ta2 Ta 0.1652 0.5000 0.8347
N1 N 0.0045 0.5000 0.7269
N2 N 0.1642 0.0000 0.5886
N3 N 0.1751 0.0000 0.0803
# VASP energy, Ry/atom: -0.6243
# DOS(E_F), states/eV/atom: 0.334
# Formation energy (no corrections), eV per atom: -0.9925

---

# 5
# GGA-PBE NaMgTe2N, relaxed
data_NaMgTe2N
_cell_length_a 5.6289
_cell_length_b 5.6289
_cell_length_c 4.3706
_cell_angle_alpha 90.00
_cell_angle_beta 90.00
_cell_angle_gamma 90.00
_space_group_name_H-M_alt 'P 4/m m m'
_space_group_IT_number 123
_space_group_name_Hall '-P 4 2'
loop_
_atom_site_label
_atom_site_type_symbol
_atom_site_fract_x
_atom_site_fract_y
_atom_site_fract_z
Na1 Na 0.0000 0.0000 0.0000
Mg1 Mg 0.5000 0.5000 0.5000
Te1 Te 0.0000 0.5000 0.0000
N1 N 0.0000 0.0000 0.5000
# VASP energy, Ry/atom: -0.1914
# DOS(E_F), states/eV/atom: 0.841
# Formation energy (no corrections), eV per atom: 0.9010

---

# 6
# GGA-PBE NaMgTe2N, relaxed
data_NaMgTe2N
_cell_length_a 5.9340
_cell_length_b 5.9340
_cell_length_c 3.8896
_cell_angle_alpha 90.00
_cell_angle_beta 90.00
_cell_angle_gamma 90.00
_space_group_name_H-M_alt 'P 4/m m m'
_space_group_IT_number 123
_space_group_name_Hall '-P 4 2'
loop_
_atom_site_label
_atom_site_type_symbol
_atom_site_fract_x
_atom_site_fract_y
_atom_site_fract_z
Na1 Na 0.0000 0.0000 0.0000
Mg1 Mg 0.5000 0.5000 0.5000
Te1 Te 0.0000 0.5000 0.5000
N1 N 0.5000 0.5000 0.0000
# VASP energy, Ry/atom: -0.2371
# DOS(E_F), states/eV/atom: 0.942
# Formation energy (no corrections), eV per atom: 0.2784

---

> Look up the DOS(E_F) of the fifth one.

0.841 states/eV/atom

---

> Which value of formation energy (no corrections) does entry 4 give?

-0.9925 eV per atom